Record 1
A relaxed structure of BeZnAs, computed with GGA-PBE.

Total energy: -3.172 eV/atom
Relative energy among the computed polymorphs: 0.00 eV per formula unit
ΔH_f (0 K): 1.04 kcal/mol of atoms
Symmetry: No. 31

Unit cell a=4.8066 b=5.9471 c=10.0363 alpha=90.00 beta=90.00 gamma=90.00
With the nearest neighbours (Å) after each atom.
Atoms (fractional coordinates):
Zn: 0.1756 0.8695 0.1238  2 Zn 2.49-2.68, 3 As 2.53-2.66, 2 Be 2.61-2.74
Zn: 0.6756 0.1305 0.3762  2 Zn 2.49-2.68, 3 As 2.53-2.66, 2 Be 2.61-2.74
As: 0.1653 0.1997 0.2832  3 Be 2.27-2.34, 1 Zn 2.53
Zn: 0.1756 0.8695 0.8762  2 Zn 2.49-2.68, 3 As 2.53-2.66, 2 Be 2.61-2.74
Zn: 0.6756 0.1305 0.6238  2 Zn 2.49-2.68, 3 As 2.53-2.66, 2 Be 2.61-2.74
Be: 0.8499 0.4507 0.8012  3 As 2.27-2.29
As: 0.6972 0.3147 0.0000  3 Be 2.23-2.27
As: 0.1972 0.6853 0.5000  3 Be 2.23-2.27
Be: 0.3499 0.5493 0.3012  3 As 2.27-2.29
As: 0.6653 0.8003 0.7832  3 Be 2.27-2.34, 1 Zn 2.53
Zn: 0.7141 0.5288 0.5000  2 As 2.50-2.65, 2 Be 2.66, 2 Zn 2.68
Be: 0.7071 0.9400 0.0000  3 As 2.23-2.34
Be: 0.8499 0.4507 0.1988  3 As 2.27-2.29
Be: 0.2071 0.0600 0.5000  3 As 2.23-2.34
As: 0.6653 0.8003 0.2168  3 Be 2.27-2.34, 1 Zn 2.53
Zn: 0.2141 0.4712 0.0000  2 As 2.50-2.65, 2 Be 2.66, 2 Zn 2.68
Be: 0.3499 0.5493 0.6988  3 As 2.27-2.29
As: 0.1653 0.1997 0.7168  3 Be 2.27-2.34, 1 Zn 2.53

=====

Record 2
A relaxed structure of BeZnAs2, computed with GGA-PBE.

Total energy: -3.277 eV/atom
Relative energy among the computed polymorphs: 0.93 eV per formula unit
ΔH_f (0 K): 6.87 kcal/mol of atoms
Symmetry: No. 12

Unit cell a=4.4149 b=4.4149 c=4.0009 alpha=73.58 beta=73.58 gamma=102.48
With the nearest neighbours (Å) after each atom.
Atoms (fractional coordinates):
Zn: 0.0000 0.5000 0.5000  4 As 2.53, 2 Be 2.76
As: 0.0000 0.0000 0.0000  2 Be 2.53, 2 Zn 2.53, 2 As 2.76
As: 0.5000 0.5000 0.0000  2 Zn 2.53, 2 Be 2.53, 2 As 2.76
Be: 0.5000 0.0000 0.5000  4 As 2.53, 2 Zn 2.76

=====

Record 3
A relaxed structure of BeZnAs2, computed with GGA-PBE.

Total energy: -3.364 eV/atom
Relative energy among the computed polymorphs: 0.58 eV per formula unit
ΔH_f (0 K): 4.86 kcal/mol of atoms
Symmetry: No. 10

Unit cell a=3.5227 b=4.0107 c=5.1248 alpha=74.21 beta=90.00 gamma=90.00
With the nearest neighbours (Å) after each atom.
Atoms (fractional coordinates):
Zn: 0.5000 0.7500 0.7500  4 As 2.73, 2 Be 2.79
As: 0.0000 0.4883 0.4494  2 Be 2.36, 1 As 2.50
Be: 0.5000 0.2500 0.2500  4 As 2.36
As: 0.0000 0.0117 0.0506  2 Be 2.36, 1 As 2.50

=====

Record 4
A relaxed structure of BeZnAs2, computed with GGA-PBE.

Total energy: -3.127 eV/atom
Relative energy among the computed polymorphs: 1.53 eV per formula unit
ΔH_f (0 K): 10.32 kcal/mol of atoms
Symmetry: No. 123

Unit cell a=4.2382 b=4.2382 c=3.5923 alpha=90.00 beta=90.00 gamma=90.00
With the nearest neighbours (Å) after each atom.
Atoms (fractional coordinates):
Zn: 0.0000 0.5000 0.5000  8 As 2.78, 4 Be 3.00
As: 0.0000 0.0000 0.0000  4 Be 2.78, 4 Zn 2.78, 4 As 3.00
As: 0.5000 0.5000 0.0000  4 Be 2.78, 4 Zn 2.78, 4 As 3.00
Be: 0.5000 0.0000 0.5000  8 As 2.78, 4 Zn 3.00

=====

Record 5
A relaxed structure of Be2ZnAs, computed with GGA-PBE.

Total energy: -2.966 eV/atom
Relative energy among the computed polymorphs: 0.42 eV per formula unit
ΔH_f (0 K): 8.72 kcal/mol of atoms
Symmetry: No. 166

Unit cell a=7.3760 b=7.3760 c=7.3760 alpha=22.69 beta=22.69 gamma=22.69
With the nearest neighbours (Å) after each atom.
Atoms (fractional coordinates):
Be: 0.0004 0.0004 0.0004  3 As 2.45, 3 Zn 2.46
As: 0.7500 0.7500 0.7500  6 Be 2.45
Be: 0.4996 0.4996 0.4996  3 As 2.45, 3 Zn 2.46
Zn: 0.2500 0.2500 0.2500  6 Be 2.46

=====

Record 6
A relaxed structure of Be2ZnAs, computed with GGA-PBE.

Total energy: -2.708 eV/atom
Relative energy among the computed polymorphs: 1.45 eV per formula unit
ΔH_f (0 K): 14.67 kcal/mol of atoms
Symmetry: No. 216

Unit cell a=4.2648 b=4.2648 c=4.2648 alpha=60.00 beta=60.00 gamma=60.00
With the nearest neighbours (Å) after each atom.
Atoms (fractional coordinates):
Be: 0.2500 0.2500 0.2500  4 As 2.61, 4 Be 2.61
Be: 0.0000 0.0000 0.0000  4 Be 2.61, 4 Zn 2.61
As: 0.5000 0.5000 0.5000  4 Zn 2.61, 4 Be 2.61
Zn: 0.7500 0.7500 0.7500  4 Be 2.61, 4 As 2.61

=====

Record 7
A relaxed structure of BeZnAs2, computed with GGA-PBE.

Total energy: -3.434 eV/atom
Relative energy among the computed polymorphs: 0.30 eV per formula unit
ΔH_f (0 K): 3.24 kcal/mol of atoms
Symmetry: No. 12

Unit cell a=3.5610 b=3.5610 c=6.3261 alpha=74.57 beta=74.57 gamma=58.30
With the nearest neighbours (Å) after each atom.
Atoms (fractional coordinates):
As: 0.4901 0.4901 0.5356  3 Be 2.41-2.42, 3 Zn 2.67
As: 0.0099 0.0099 0.9644  3 Be 2.41-2.42, 3 Zn 2.67
Zn: 0.2500 0.2500 0.2500  6 As 2.67
Be: 0.7500 0.7500 0.7500  6 As 2.41-2.42

=====

Record 8
A relaxed structure of BeZnAs, computed with GGA-PBE.

Total energy: -3.072 eV/atom
Relative energy among the computed polymorphs: 0.30 eV per formula unit
ΔH_f (0 K): 3.34 kcal/mol of atoms
Symmetry: No. 156

Unit cell a=3.7456 b=3.7456 c=3.9758 alpha=90.00 beta=90.00 gamma=120.00
With the nearest neighbours (Å) after each atom.
Atoms (fractional coordinates):
As: 0.0000 0.0000 0.2063  3 Be 2.20
Be: 0.6667 0.3333 0.1040  3 As 2.20
Zn: 0.3333 0.6667 0.6896  3 Be 2.72, 6 As 2.89-2.98

=====

Record 9
A relaxed structure of BeZnAs, computed with GGA-PBE.

Total energy: -2.926 eV/atom
Relative energy among the computed polymorphs: 0.74 eV per formula unit
ΔH_f (0 K): 6.71 kcal/mol of atoms
Symmetry: No. 156

Unit cell a=3.1772 b=3.1772 c=5.2876 alpha=90.00 beta=90.00 gamma=120.00
With the nearest neighbours (Å) after each atom.
Atoms (fractional coordinates):
Be: 0.6667 0.3333 0.3151  3 As 2.33, 3 Zn 2.52
As: 0.0000 0.0000 0.0423  3 Be 2.33
Zn: 0.3333 0.6667 0.6427  3 Be 2.52, 3 As 2.80

=====

Record 10
A relaxed structure of BeZnAs4, computed with GGA-PBE.

Total energy: -3.251 eV/atom
ΔH_f (0 K): 15.73 kcal/mol of atoms
Symmetry: No. 216

Unit cell a=5.4963 b=5.4963 c=5.4963 alpha=60.00 beta=60.00 gamma=60.00
With the nearest neighbours (Å) after each atom.
Atoms (fractional coordinates):
As: 0.3754 0.3754 0.8737  6 As 2.74-2.76
As: 0.3754 0.3754 0.3754  6 As 2.74-2.76
Be: 0.7500 0.7500 0.7500  12 As 3.22, 4 Zn 3.37
As: 0.8737 0.3754 0.3754  6 As 2.74-2.76
Zn: 0.0000 0.0000 0.0000  12 As 3.22, 4 Be 3.37
As: 0.3754 0.8737 0.3754  6 As 2.74-2.76

=====

Record 11
A relaxed structure of BeZnAs2, computed with GGA-PBE.

Total energy: -3.249 eV/atom
Relative energy among the computed polymorphs: 1.04 eV per formula unit
ΔH_f (0 K): 7.51 kcal/mol of atoms
Symmetry: No. 99

Unit cell a=2.7325 b=2.7325 c=8.9803 alpha=90.00 beta=90.00 gamma=90.00
With the nearest neighbours (Å) after each atom.
Atoms (fractional coordinates):
As: 0.5000 0.5000 0.3245  4 Be 2.57, 4 As 2.73
As: 0.0000 0.0000 0.9575  4 As 2.73, 4 Zn 2.98
Be: 0.0000 0.0000 0.5135  4 As 2.57, 4 Zn 2.58, 4 Be 2.73
Zn: 0.5000 0.5000 0.7045  4 Be 2.58, 4 Zn 2.73

=====

Record 12
A relaxed structure of BeZn3As, computed with GGA-PBE.

Total energy: -1.592 eV/atom
Relative energy among the computed polymorphs: 1.99 eV per formula unit
ΔH_f (0 K): 19.53 kcal/mol of atoms
Symmetry: No. 221

Unit cell a=4.8908 b=4.8908 c=4.8908 alpha=90.00 beta=90.00 gamma=90.00
With the nearest neighbours (Å) after each atom.
Atoms (fractional coordinates):
As: 0.0000 0.0000 0.0000  6 Zn 2.45
Zn: 0.0000 0.0000 0.5000  2 As 2.45
Zn: 0.5000 0.0000 0.0000  2 As 2.45
Zn: 0.0000 0.5000 0.0000  2 As 2.45
Be: 0.5000 0.5000 0.5000  12 Zn 3.46

=====

Record 13
A relaxed structure of BeZnAs2, computed with GGA-PBE.

Total energy: -3.269 eV/atom
Relative energy among the computed polymorphs: 0.96 eV per formula unit
ΔH_f (0 K): 7.06 kcal/mol of atoms
Symmetry: No. 65

Unit cell a=3.0409 b=3.0409 c=7.5388 alpha=90.00 beta=90.00 gamma=106.57
With the nearest neighbours (Å) after each atom.
Atoms (fractional coordinates):
Be: 0.5000 0.5000 0.2500  4 As 2.36
Zn: 0.5000 0.5000 0.7500  4 As 2.91, 4 Zn 3.04
As: 0.0000 0.0000 0.0507  2 Be 2.36
As: 0.0000 0.0000 0.4493  2 Be 2.36

=====

Record 14
A relaxed structure of Be2ZnAs, computed with GGA-PBE.

Total energy: -2.935 eV/atom
Relative energy among the computed polymorphs: 0.54 eV per formula unit
ΔH_f (0 K): 9.43 kcal/mol of atoms
Symmetry: No. 12

Unit cell a=4.4541 b=6.0276 c=2.7323 alpha=62.12 beta=90.56 gamma=122.22
With the nearest neighbours (Å) after each atom.
Atoms (fractional coordinates):
As: 0.5000 0.0000 0.5000  8 Be 2.60-2.62, 2 Zn 2.66, 2 As 2.73
Be: 0.0000 0.0000 0.0000  4 Zn 2.60-2.62, 4 As 2.60-2.62, 4 Be 2.66-2.73
Be: 0.0000 0.5000 0.5000  4 As 2.60-2.62, 4 Zn 2.60-2.62, 4 Be 2.66-2.73
Zn: 0.5000 0.5000 0.0000  8 Be 2.60-2.62, 2 As 2.66, 2 Zn 2.73